Computed, not measured: a relaxed Na2GeP crystal at the GGA-PBE level of DFT.

```
Na2GeP
1.0
-1.471 -3.681 1.070
2.246 0.101 3.436
-7.217 2.655 7.092
Ge P Na
2 2 4
direct
0.000 0.000 0.000 Ge
0.750 0.250 0.500 Ge
0.250 0.750 0.500 P
0.500 0.500 0.000 P
0.137 0.625 0.250 Na
0.375 0.387 0.750 Na
0.875 0.863 0.750 Na
0.613 0.125 0.250 Na
```

Values from the calculation:
- ΔE to the lowest computed polymorph (eV/f.u.) = 1.172
- ΔH_f (0 K) (eV/atom) = 0.16


Computed, not measured: a relaxed Tb4PmSc3 crystal at the GGA-PBE level of DFT.

```
Tb4PmSc3
1.0
-2.552 -2.960 -4.664
1.618 -6.180 3.037
-9.658 0.052 5.251
Tb Sc Pm
8 6 2
direct
0.138 0.867 0.000 Tb
0.485 0.868 0.245 Tb
0.985 0.132 0.745 Tb
0.646 0.131 0.000 Tb
0.638 0.133 0.500 Tb
0.485 0.868 0.755 Tb
0.985 0.132 0.255 Tb
0.146 0.869 0.500 Tb
0.479 0.381 0.751 Sc
0.479 0.381 0.249 Sc
0.651 0.620 0.000 Sc
0.979 0.619 0.749 Sc
0.151 0.380 0.500 Sc
0.979 0.619 0.251 Sc
0.650 0.618 0.500 Pm
0.150 0.382 0.000 Pm
```

Values from the calculation:
- ΔE to the lowest computed polymorph (eV/f.u.) = 0.000
- ΔH_f (0 K) (eV/atom) = 0.04


Computed, not measured: a relaxed TaSe2F crystal at the GGA-PBE level of DFT.

```
TaSe2F
1.0
-0.438 -2.396 4.943
-3.125 -5.087 -2.743
8.589 -4.508 -1.425
Ta Se F
4 8 4
direct
0.000 0.750 0.417 Ta
0.500 0.250 0.917 Ta
0.500 0.750 0.083 Ta
0.000 0.250 0.583 Ta
0.761 0.425 0.085 Se
0.739 0.425 0.415 Se
0.239 0.075 0.085 Se
0.261 0.575 0.585 Se
0.761 0.925 0.915 Se
0.739 0.925 0.585 Se
0.239 0.575 0.915 Se
0.261 0.075 0.415 Se
0.250 0.185 0.750 F
0.750 0.815 0.250 F
0.250 0.685 0.250 F
0.750 0.315 0.750 F
```

Values from the calculation:
- ΔE to the lowest computed polymorph (eV/f.u.) = 0.000
- formation energy from raw total energies (eV per atom) = -1.289


Computed, not measured: a relaxed Hf3MgBi crystal at the GGA-PBE level of DFT.

```
Hf3MgBi
1.0
-5.102 -1.600 0.426
1.484 -3.805 3.477
-0.735 3.425 4.061
Hf Bi Mg
3 1 1
direct
0.500 0.000 0.000 Hf
0.000 0.500 0.000 Hf
0.000 0.000 0.500 Hf
0.000 0.000 0.000 Bi
0.500 0.500 0.500 Mg
```

Values from the calculation:
- ΔE to the lowest computed polymorph (eV/f.u.) = 1.070
- ΔH_f (0 K) (eV/atom) = 1.21


Computed, not measured: a relaxed LiCu2TcF crystal at the GGA-PBE level of DFT.

```
LiCu2TcF
1.0
-0.873 -4.193 1.621
2.470 0.254 1.987
-2.749 1.804 3.187
Cu F Tc Li
2 1 1 1
direct
0.500 0.000 0.000 Cu
0.000 0.000 0.500 Cu
0.000 0.000 0.000 F
0.500 0.500 0.500 Tc
0.000 0.500 0.000 Li
```

Values from the calculation:
- formation energy from raw total energies (eV per atom) = 0.007


Computed, not measured: a relaxed MnInSi2 crystal at the GGA-PBE level of DFT.

```
MnInSi2
1.0
2.934 0.000 0.000
0.000 4.888 -0.017
0.000 3.019 4.652
Mn In Si
1 1 2
direct
0.000 0.000 0.500 Mn
0.500 0.500 0.500 In
0.000 0.000 0.000 Si
0.500 0.500 0.000 Si
```

Values from the calculation:
- formation energy from raw total energies (eV per atom) = 0.437


Computed, not measured: a relaxed TlCdS2 crystal at the GGA-PBE level of DFT.

```
TlCdS2
1.0
2.560 0.000 7.516
-1.280 2.217 7.516
-1.280 -2.217 7.516
S Tl Cd
2 1 1
direct
0.104 0.104 0.104 S
0.896 0.896 0.896 S
0.500 0.500 0.500 Tl
0.000 0.000 0.000 Cd
```

Values from the calculation:
- ΔE to the lowest computed polymorph (eV/f.u.) = 0.938
- formation energy from raw total energies (eV per atom) = -0.101


Computed, not measured: a relaxed KBi3Pd crystal at the GGA-PBE level of DFT.

```
KBi3Pd
1.0
-1.541 -4.232 -1.339
-1.551 -2.490 9.651
-12.425 4.769 -0.767
Bi Pd K
12 4 4
direct
0.250 0.345 0.262 Bi
0.750 0.155 0.762 Bi
0.250 0.362 0.706 Bi
0.750 0.138 0.206 Bi
0.750 0.638 0.294 Bi
0.250 0.862 0.794 Bi
0.750 0.934 0.576 Bi
0.250 0.566 0.076 Bi
0.250 0.066 0.424 Bi
0.750 0.655 0.738 Bi
0.750 0.434 0.924 Bi
0.250 0.845 0.238 Bi
0.750 0.924 0.357 Pd
0.750 0.424 0.143 Pd
0.250 0.576 0.857 Pd
0.250 0.076 0.643 Pd
0.750 0.821 0.010 K
0.750 0.321 0.490 K
0.250 0.179 0.990 K
0.250 0.679 0.510 K
```

Values from the calculation:
- ΔE to the lowest computed polymorph (eV/f.u.) = 0.000
- ΔH_f (0 K) (eV/atom) = -0.27


Computed, not measured: a relaxed BaLi2NdI8 crystal at the GGA-PBE level of DFT.

```
BaLi2NdI8
1.0
7.674 0.000 0.000
-3.837 6.646 0.000
0.000 0.000 9.998
I Nd Ba Li
8 1 1 2
direct
0.322 0.018 0.698 I
0.696 0.678 0.698 I
0.304 0.322 0.302 I
0.667 0.333 0.000 I
0.678 0.982 0.302 I
0.018 0.696 0.302 I
0.982 0.304 0.698 I
0.333 0.667 0.000 I
0.000 0.000 0.500 Nd
0.000 0.000 0.000 Ba
0.667 0.333 0.271 Li
0.333 0.667 0.729 Li
```

Values from the calculation:
- formation energy from raw total energies (eV per atom) = -1.161


Computed, not measured: a relaxed ThRe3Si3 crystal at the GGA-PBE level of DFT.

```
ThRe3Si3
1.0
-5.253 0.620 3.938
-3.193 -4.556 -3.542
2.387 -4.728 3.929
Re Th Si
6 2 6
direct
0.250 0.000 0.500 Re
0.500 0.750 0.000 Re
0.000 0.500 0.750 Re
0.750 0.000 0.500 Re
0.000 0.500 0.250 Re
0.500 0.250 0.000 Re
0.500 0.500 0.500 Th
0.000 0.000 0.000 Th
0.750 0.500 0.000 Si
0.250 0.500 0.000 Si
0.000 0.750 0.500 Si
0.000 0.250 0.500 Si
0.500 0.000 0.750 Si
0.500 0.000 0.250 Si
```

Values from the calculation:
- formation energy from raw total energies (eV per atom) = 0.388


Computed, not measured: a relaxed LiTlAuO2 crystal at the GGA-PBE level of DFT.

```
LiTlAuO2
1.0
5.445 0.000 0.000
0.000 5.383 0.000
0.000 -2.691 5.610
Li O Au Tl
2 4 2 2
direct
0.500 0.750 0.000 Li
0.500 0.250 0.000 Li
0.685 0.907 0.813 O
0.685 0.593 0.187 O
0.315 0.407 0.813 O
0.315 0.093 0.187 O
0.000 0.500 0.000 Au
0.000 0.000 0.000 Au
0.304 0.750 0.500 Tl
0.696 0.250 0.500 Tl
```

Values from the calculation:
- formation energy from raw total energies (eV per atom) = -0.694


Computed, not measured: a relaxed Nd2CoRu crystal at the GGA-PBE level of DFT.

```
Nd2CoRu
1.0
-0.718 -3.109 1.441
2.478 -1.488 -1.976
4.702 1.221 4.978
Ru Nd Co
1 2 1
direct
0.500 0.500 0.500 Ru
0.000 0.000 0.249 Nd
0.000 0.000 0.751 Nd
0.500 0.500 0.000 Co
```

Values from the calculation:
- ΔH_f (0 K) (eV/atom) = -0.02


Computed, not measured: a relaxed SmTmBeGa crystal at the GGA-PBE level of DFT.

```
SmTmBeGa
1.0
4.966 0.000 0.000
2.483 4.301 0.000
2.483 1.434 4.055
Sm Ga Be Tm
1 1 1 1
direct
0.500 0.500 0.500 Sm
0.250 0.250 0.250 Ga
0.750 0.750 0.750 Be
0.000 0.000 0.000 Tm
```

Values from the calculation:
- ΔH_f (0 K) (eV/atom) = -0.22


Computed, not measured: a relaxed PrScAs crystal at the GGA-PBE level of DFT.

```
PrScAs
1.0
-2.817 -3.045 -0.935
1.950 -2.635 2.708
-4.797 2.599 5.985
Sc Pr As
2 2 2
direct
0.750 0.250 0.000 Sc
0.250 0.750 0.000 Sc
0.750 0.750 0.352 Pr
0.250 0.250 0.648 Pr
0.750 0.750 0.753 As
0.250 0.250 0.247 As
```

Values from the calculation:
- ΔH_f (0 K) (eV/atom) = -1.01


Computed, not measured: a relaxed DyTmSc2Rh4 crystal at the GGA-PBE level of DFT.

```
DyTmSc2Rh4
1.0
-3.857 2.133 -1.616
-4.120 -0.651 2.154
-1.236 6.501 4.715
Rh Tm Sc Dy
4 1 2 1
direct
0.624 0.624 0.127 Rh
0.126 0.126 0.623 Rh
0.874 0.874 0.377 Rh
0.376 0.376 0.873 Rh
0.500 0.500 0.500 Tm
0.751 0.751 0.748 Sc
0.249 0.249 0.252 Sc
0.000 0.000 0.000 Dy
```

Values from the calculation:
- ΔH_f (0 K) (eV/atom) = -0.95


Computed, not measured: a relaxed Pu2SiCl crystal at the GGA-PBE level of DFT.

```
Pu2SiCl
1.0
3.401 0.000 0.000
0.000 3.401 0.000
0.000 0.000 7.664
Si Pu Cl
1 2 1
direct
0.500 0.500 0.500 Si
0.000 0.000 0.278 Pu
0.000 0.000 0.722 Pu
0.500 0.500 0.000 Cl
```

Values from the calculation:
- ΔE to the lowest computed polymorph (eV/f.u.) = 0.000
- formation energy from raw total energies (eV per atom) = -0.734


Computed, not measured: a relaxed PmY6Er2 crystal at the GGA-PBE level of DFT.

```
PmY6Er2
1.0
5.040 0.000 0.220
0.000 10.698 0.000
-0.466 0.000 10.688
Y Pm Er
12 2 4
direct
0.000 0.333 0.167 Y
0.500 0.167 0.667 Y
0.500 0.500 0.333 Y
0.500 0.167 0.000 Y
0.000 0.333 0.500 Y
0.500 0.833 0.000 Y
0.000 0.000 0.167 Y
0.500 0.500 0.667 Y
0.000 0.667 0.833 Y
0.500 0.833 0.333 Y
0.000 0.000 0.833 Y
0.000 0.667 0.500 Y
0.000 0.000 0.500 Pm
0.500 0.500 0.000 Pm
0.000 0.667 0.167 Er
0.500 0.833 0.667 Er
0.500 0.167 0.333 Er
0.000 0.333 0.833 Er
```

Values from the calculation:
- ΔE to the lowest computed polymorph (eV/f.u.) = 0.000
- ΔH_f (0 K) (eV/atom) = 0.02


Computed, not measured: a relaxed FeAgW crystal at the GGA-PBE level of DFT.

```
FeAgW
1.0
-2.678 0.176 0.634
1.756 -1.202 1.754
1.112 6.034 3.020
Fe Ag W
1 1 1
direct
0.333 0.667 0.350 Fe
0.000 0.000 0.012 Ag
0.667 0.333 0.638 W
```

Values from the calculation:
- ΔE to the lowest computed polymorph (eV/f.u.) = 0.277
- ΔH_f (0 K) (eV/atom) = 0.51


Computed, not measured: a relaxed Tb2Dy7Th crystal at the GGA-PBE level of DFT.

```
Tb2Dy7Th
1.0
-2.303 -4.494 -1.016
0.341 -2.298 9.397
-7.124 4.686 -4.581
Th Tb Dy
1 2 7
direct
0.000 0.000 0.000 Th
0.500 0.299 0.701 Tb
0.500 0.701 0.299 Tb
0.500 0.928 0.714 Dy
0.000 0.805 0.195 Dy
0.500 0.072 0.286 Dy
0.500 0.714 0.928 Dy
0.500 0.500 0.500 Dy
0.000 0.195 0.805 Dy
0.500 0.286 0.072 Dy
```

Values from the calculation:
- ΔE to the lowest computed polymorph (eV/f.u.) = 3.839
- ΔH_f (0 K) (eV/atom) = 0.72


Computed, not measured: a relaxed BaTaTi2Hg crystal at the GGA-PBE level of DFT.

```
BaTaTi2Hg
1.0
5.218 0.000 0.000
0.000 5.307 0.000
0.000 0.000 5.218
Hg Ti Ba Ta
1 2 1 1
direct
0.000 0.000 0.000 Hg
0.500 0.000 0.000 Ti
0.000 0.000 0.500 Ti
0.500 0.500 0.500 Ba
0.000 0.500 0.000 Ta
```

Values from the calculation:
- ΔH_f (0 K) (eV/atom) = 1.27


Computed, not measured: a relaxed HoAgPdPb crystal at the GGA-PBE level of DFT.

```
HoAgPdPb
1.0
4.941 0.000 0.000
2.471 4.279 0.000
2.471 1.426 4.034
Ho Pd Ag Pb
1 1 1 1
direct
0.000 0.000 0.000 Ho
0.250 0.250 0.250 Pd
0.750 0.750 0.750 Ag
0.500 0.500 0.500 Pb
```

Values from the calculation:
- ΔH_f (0 K) (eV/atom) = -0.47


Computed, not measured: a relaxed Ba2SbRh2 crystal at the GGA-PBE level of DFT.

```
Ba2SbRh2
1.0
-2.735 5.748 -3.641
-6.110 -0.347 4.041
2.026 3.072 3.327
Ba Sb Rh
4 2 4
direct
0.181 0.681 0.500 Ba
0.819 0.319 0.500 Ba
0.319 0.181 0.500 Ba
0.681 0.819 0.500 Ba
0.000 0.000 0.000 Sb
0.500 0.500 0.000 Sb
0.628 0.128 0.000 Rh
0.128 0.372 0.000 Rh
0.872 0.628 0.000 Rh
0.372 0.872 0.000 Rh
```

Values from the calculation:
- ΔE to the lowest computed polymorph (eV/f.u.) = 0.833
- formation energy from raw total energies (eV per atom) = -0.364


Computed, not measured: a relaxed Dy8Si3PS4 crystal at the GGA-PBE level of DFT.

```
Dy8Si3PS4
1.0
-7.431 2.944 -0.768
-1.649 -2.190 7.559
6.348 4.675 -1.525
Dy Si S P
8 3 4 1
direct
0.752 0.256 0.003 Dy
0.750 0.749 0.500 Dy
0.251 0.256 0.003 Dy
0.250 0.251 0.500 Dy
0.248 0.745 0.496 Dy
0.749 0.744 0.997 Dy
0.752 0.255 0.504 Dy
0.248 0.744 0.997 Dy
0.000 0.500 0.500 Si
0.500 0.500 0.000 Si
0.500 0.500 0.500 Si
0.500 0.000 0.000 S
0.500 0.000 0.500 S
0.000 0.000 0.000 S
0.000 0.000 0.500 S
0.000 0.500 0.000 P
```

Values from the calculation:
- formation energy from raw total energies (eV per atom) = -1.507